No. 1
# PrNd2I

A geometry-optimized PrNd2I structure (PBE, Alexandria via LeMat-Bulk).

a b c (Å): 3.742 3.742 9.863
angles (deg): 90.00 90.00 90.00
Positions (direct):
Nd (0.000, 0.000, 0.740)
Nd (0.000, 0.000, 0.260)
Pr (0.500, 0.500, 0.000)
I (0.500, 0.500, 0.500)

Properties
calculated total energy = -4.312 eV/atom
energy relative to the elements, uncorrected = -0.3454 eV/atom
magnetization = 0.00 μB per formula unit
volume = 138.1 Å³/cell
space-group type = P4/mmm (123)
D(E_F) = 4.3 states/eV/f.u.



No. 2
# CsUAuSe3

A geometry-optimized CsUAuSe3 structure (PBE, Alexandria via LeMat-Bulk).

a b c (Å): 4.238 9.479 10.362
angles (deg): 112.72 90.00 90.00
Each line ends with the local moment (μB).
Positions (direct):
Cs (0.250, 0.222, 0.259)  0.00
Cs (0.750, 0.778, 0.741)  0.00
Se (0.250, 0.531, 0.858)  -0.07
Se (0.750, 0.874, 0.133)  -0.05
Se (0.750, 0.238, 0.553)  -0.05
Se (0.750, 0.469, 0.142)  -0.07
Se (0.250, 0.126, 0.867)  -0.05
Se (0.250, 0.762, 0.447)  -0.05
Au (0.250, 0.086, 0.600)  -0.02
Au (0.750, 0.914, 0.400)  -0.02
U (0.250, 0.682, 0.158)  2.11
U (0.750, 0.318, 0.842)  2.11

Properties
calculated total energy = -5.289 eV/atom
energy relative to the elements, uncorrected = -0.9769 eV/atom
magnetization = 2.00 μB per formula unit
volume = 383.9 Å³/cell
space-group type = P2_1/m (11)
D(E_F) = 7.0 states/eV/f.u.



No. 3
# CaCdN

A geometry-optimized CaCdN structure (PBE, Alexandria via LeMat-Bulk).

a b c (Å): 3.565 3.565 9.878
angles (deg): 100.40 100.40 90.00
Positions (direct):
N (0.819, 0.819, 0.638)
N (0.181, 0.181, 0.362)
Ca (0.692, 0.692, 0.383)
Ca (0.308, 0.308, 0.617)
Cd (0.070, 0.070, 0.140)
Cd (0.930, 0.930, 0.860)

Properties
calculated total energy = -4.124 eV/atom
energy relative to the elements, uncorrected = -0.3770 eV/atom
magnetization = 0.00 μB per formula unit
volume = 121.4 Å³/cell
space-group type = I4/mmm (139)
D(E_F) = 1.0 states/eV/f.u.



No. 4
# MgMn3Pt12

A geometry-optimized MgMn3Pt12 structure (PBE, Alexandria via LeMat-Bulk).

a b c (Å): 3.932 3.932 15.767
angles (deg): 90.00 90.00 90.00
Each line ends with the local moment (μB).
Positions (direct):
Pt (0.000, 0.500, 0.873)  0.02
Pt (0.500, 0.500, 0.749)  0.09
Pt (0.500, 0.500, 0.500)  0.16
Pt (0.000, 0.500, 0.625)  0.14
Pt (0.500, 0.500, 0.251)  0.09
Pt (0.500, 0.000, 0.375)  0.14
Pt (0.500, 0.000, 0.625)  0.14
Pt (0.500, 0.000, 0.873)  0.02
Pt (0.500, 0.500, 0.000)  -0.03
Pt (0.000, 0.500, 0.375)  0.14
Pt (0.000, 0.500, 0.127)  0.02
Pt (0.500, 0.000, 0.127)  0.02
Mn (0.000, 0.000, 0.500)  3.75
Mn (0.000, 0.000, 0.250)  3.73
Mn (0.000, 0.000, 0.750)  3.73
Mg (0.000, 0.000, 0.000)  -0.01

Properties
calculated total energy = -6.774 eV/atom
magnetization = 12.40 μB per formula unit
energy relative to the elements = -425 meV/atom
volume = 243.8 Å³/cell
space-group type = P4/mmm (123)
D(E_F) = 14.4 states/eV/f.u.



No. 5
# Na3In2Sn2

A geometry-optimized Na3In2Sn2 structure (PBE, Alexandria via LeMat-Bulk).

a b c (Å): 3.653 4.984 11.077
angles (deg): 103.00 99.49 90.00
Positions (direct):
Na (0.797, 0.297, 0.594)
Na (0.000, 0.000, 0.000)
Na (0.203, 0.703, 0.406)
Sn (0.643, 0.143, 0.286)
Sn (0.357, 0.857, 0.714)
In (0.569, 0.569, 0.137)
In (0.431, 0.431, 0.863)

Properties
calculated total energy = -2.634 eV/atom
magnetization = 0.00 μB per formula unit
energy relative to the elements = -142 meV/atom
volume = 193.7 Å³/cell
space-group type = Immm (71)
D(E_F) = 3.0 states/eV/f.u.



No. 6
# Sb2F7

A geometry-optimized Sb2F7 structure (PBE, Alexandria via LeMat-Bulk).

a b c (Å): 4.888 11.076 11.054
angles (deg): 90.00 90.00 95.04
Positions (direct):
F (0.139, 0.843, 0.124)
F (0.352, 0.545, 0.873)
F (0.184, 0.382, 0.250)
F (0.589, 0.784, 0.978)
F (0.798, 0.948, 0.750)
F (0.319, 0.330, 0.750)
F (0.202, 0.052, 0.250)
F (0.589, 0.784, 0.522)
F (0.861, 0.157, 0.624)
F (0.352, 0.545, 0.627)
F (0.219, 0.945, 0.907)
F (0.861, 0.157, 0.876)
F (0.648, 0.455, 0.127)
F (0.780, 0.406, 0.875)
F (0.139, 0.843, 0.376)
F (0.648, 0.455, 0.373)
F (0.781, 0.055, 0.093)
F (0.411, 0.216, 0.478)
F (0.411, 0.216, 0.022)
F (0.220, 0.594, 0.375)
F (0.681, 0.670, 0.250)
F (0.780, 0.406, 0.625)
F (0.816, 0.618, 0.750)
F (0.781, 0.055, 0.407)
F (0.220, 0.594, 0.125)
F (0.313, 0.771, 0.750)
F (0.687, 0.229, 0.250)
F (0.219, 0.945, 0.593)
Sb (0.799, 0.235, 0.061)
Sb (0.201, 0.765, 0.939)
Sb (0.433, 0.526, 0.250)
Sb (0.799, 0.235, 0.439)
Sb (0.567, 0.474, 0.750)
Sb (0.201, 0.765, 0.561)
Sb (0.096, 0.074, 0.750)
Sb (0.904, 0.926, 0.250)

Properties
calculated total energy = -4.723 eV/atom
energy relative to the elements, uncorrected = -2.3519 eV/atom
magnetization = 0.00 μB per formula unit
volume = 596.2 Å³/cell
space-group type = P2_1/m (11)
D(E_F) = 0.0 states/eV/f.u.